The following is a DFT calculation (PBE-GGA) of an optimized crystal structure of HfPtS2.

Cell lengths 3.4834, 3.4834, 22.8963 Å; angles 90.00, 90.00, 120.00 degrees
Space group R-3m (No. 166, hexagonal axes)
One atom of each set of equivalent atoms:
Hf1 0.0000 0.0000 0.0000 [3 per cell]
Pt1 0.0000 0.0000 0.5000 [3 per cell]
S1 0.0000 0.0000 0.4006 [6 per cell]

Calculated values
Mass density ... 9.06 Mg/m³
Relative energy among the computed polymorphs ... 0 meV/atom
Crystal system ... trigonal
E_form (uncorrected) ... -851.9 meV/atom
V ... 20.050 Å³/atom
N(E_F) ... 0.75 states/eV/atom

The following is a DFT calculation (PBE-GGA) of an optimized crystal structure of HfPtS3.

Cell lengths 4.6286, 4.6286, 4.6286 Å; angles 90.00, 90.00, 90.00 degrees
Space group Pm-3m (No. 221)
One atom of each set of equivalent atoms:
Hf1 0.0000 0.0000 0.0000 [1 per cell]
Pt1 0.5000 0.5000 0.5000 [1 per cell]
S1 0.0000 0.5000 0.5000 [3 per cell]

Calculated values
Mass density ... 7.87 Mg/m³
Relative energy among the computed polymorphs ... 42 meV/atom
Crystal system ... cubic
E_form (uncorrected) ... 179.6 meV/atom
V ... 19.832 Å³/atom
N(E_F) ... 0.51 states/eV/atom

The following is a DFT calculation (PBE-GGA) of an optimized crystal structure of Hf6Pt3S.

Cell lengths 6.0439, 7.1791, 10.9428 Å; angles 90.00, 121.84, 90.00 degrees
Space group P2_1/c (No. 14)
One atom of each set of equivalent atoms:
Hf1 0.0724 0.0481 0.2446 [4 per cell]
Hf2 0.2005 0.6825 0.0672 [4 per cell]
Hf3 0.4188 0.1591 0.0684 [4 per cell]
Pt1 0.3118 0.1219 0.7390 [4 per cell]
Pt2 0.5000 0.0000 0.5000 [2 per cell]
S1 0.0000 0.0000 0.0000 [2 per cell]

Calculated values
Mass density ... 13.90 Mg/m³
Crystal system ... monoclinic
E_form (uncorrected) ... -836.5 meV/atom
V ... 20.168 Å³/atom
N(E_F) ... 0.77 states/eV/atom

The following is a DFT calculation (PBE-GGA) of an optimized crystal structure of HfPt3S.

Cell lengths 4.5223, 4.5223, 4.5223 Å; angles 90.00, 90.00, 90.00 degrees
Space group Pm-3m (No. 221)
One atom of each set of equivalent atoms:
Hf1 0.0000 0.0000 0.0000 [1 per cell]
Pt1 0.0000 0.5000 0.5000 [3 per cell]
S1 0.5000 0.5000 0.5000 [1 per cell]

Calculated values
Mass density ... 14.29 Mg/m³
Relative energy among the computed polymorphs ... 0 meV/atom
Crystal system ... cubic
E_form (uncorrected) ... 50.0 meV/atom
V ... 18.497 Å³/atom
N(E_F) ... 0.62 states/eV/atom